{"formula": "CsBaFe2P", "functional": "PBE", "state": "relaxed", "ef_mev_per_atom": 1943.1, "e_tot_ev_per_cell": -15.40, "lattice_angstrom": [[5.3201, 0.0000, 0.0000], [0.0000, 6.9845, 0.0000], [0.0000, 0.0000, 5.3201]], "species": ["Cs", "P", "Ba", "Fe", "Fe"], "fractional_positions": [[0.0000, 0.5000, 0.0000], [0.5000, 0.5000, 0.5000], [0.0000, 0.0000, 0.0000], [0.0000, 0.0000, 0.5000], [0.5000, 0.0000, 0.0000]]}

=====

{"formula": "CsBaFePt2", "functional": "PBE", "state": "relaxed", "ef_mev_per_atom": 1429.5, "e_tot_ev_per_cell": -16.17, "lattice_angstrom": [[5.6424, 0.0000, 0.0000], [0.0000, 6.9053, 0.0000], [0.0000, 0.0000, 5.6424]], "species": ["Cs", "Ba", "Pt", "Pt", "Fe"], "fractional_positions": [[0.0000, 0.5000, 0.0000], [0.0000, 0.0000, 0.0000], [0.0000, 0.0000, 0.5000], [0.5000, 0.0000, 0.0000], [0.5000, 0.5000, 0.5000]]}

=====

{"formula": "Cs2BaSrFe", "functional": "PBE", "state": "relaxed", "ef_mev_per_atom": 1299.5, "e_tot_ev_per_cell": -7.28, "lattice_angstrom": [[-6.1896, 4.2132, 3.2795], [-4.8496, -3.5138, -4.6386], [-1.0587, -5.8898, 5.5684]], "species": ["Cs", "Cs", "Sr", "Ba", "Fe"], "fractional_positions": [[0.0000, 0.0000, 0.5000], [0.5000, 0.0000, 0.0000], [0.0000, 0.0000, 0.0000], [0.0000, 0.5000, 0.0000], [0.5000, 0.5000, 0.5000]]}

=====

{"formula": "Cs2BaGa", "functional": "PBE", "state": "relaxed", "ef_mev_per_atom": 349.5, "e_tot_ev_per_cell": -5.26, "lattice_angstrom": [[-4.1948, -4.7430, -1.8889], [-5.4582, 1.5697, -3.3771], [-0.5092, -1.6080, -6.3887]], "species": ["Cs", "Cs", "Ba", "Ga"], "fractional_positions": [[0.2500, 0.2500, 0.2500], [0.7500, 0.7500, 0.7500], [0.5000, 0.5000, 0.5000], [0.0000, 0.0000, 0.0000]]}

=====

{"formula": "CsBaGa4", "functional": "PBE", "state": "relaxed", "ef_mev_per_atom": -127.7, "e_tot_ev_per_cell": -15.65, "lattice_angstrom": [[-1.2140, -5.5195, 2.3839], [-0.1215, -4.9468, -3.6245], [4.4425, -4.2096, 0.4064]], "species": ["Cs", "Ba", "Ga", "Ga", "Ga", "Ga"], "fractional_positions": [[0.0000, 0.0000, 0.0000], [0.2500, 0.2500, 0.2500], [0.6242, 0.6242, 0.1275], [0.6242, 0.1275, 0.6242], [0.6242, 0.6242, 0.6242], [0.1275, 0.6242, 0.6242]]}

=====

{"formula": "CsBa2Ga2", "functional": "PBE", "state": "relaxed", "ef_mev_per_atom": -105.3, "e_tot_ev_per_cell": -22.56, "relative_energy_mev_per_atom": 12.8, "lattice_angstrom": [[9.9151, 0.0000, 0.0000], [0.0000, 9.9151, 0.0000], [0.0000, 0.0000, 4.0429]], "species": ["Cs", "Cs", "Ba", "Ba", "Ba", "Ba", "Ga", "Ga", "Ga", "Ga"], "fractional_positions": [[0.0000, 0.0000, 0.0000], [0.5000, 0.5000, 0.0000], [0.3581, 0.8581, 0.0000], [0.8581, 0.6419, 0.0000], [0.6419, 0.1419, 0.0000], [0.1419, 0.3581, 0.0000], [0.1493, 0.6493, 0.5000], [0.6493, 0.8507, 0.5000], [0.8507, 0.3507, 0.5000], [0.3507, 0.1493, 0.5000]]}

=====

{"formula": "Cs3BaGa", "functional": "PBE", "state": "relaxed", "ef_mev_per_atom": 767.8, "e_tot_ev_per_cell": -3.67, "relative_energy_mev_per_atom": 482.7, "lattice_angstrom": [[-5.2360, 5.0028, 3.6172], [-6.0917, -3.4171, -4.0919], [-1.0019, -5.3687, 5.9750]], "species": ["Cs", "Cs", "Cs", "Ba", "Ga"], "fractional_positions": [[0.0000, 0.5000, 0.0000], [0.0000, 0.0000, 0.5000], [0.5000, 0.0000, 0.0000], [0.0000, 0.0000, 0.0000], [0.5000, 0.5000, 0.5000]]}

=====

{"formula": "CsBaGa3", "functional": "PBE", "state": "relaxed", "ef_mev_per_atom": 522.0, "e_tot_ev_per_cell": -9.25, "relative_energy_mev_per_atom": 0.0, "lattice_angstrom": [[6.2393, 0.0000, 0.0000], [0.0000, 6.2393, 0.0000], [0.0000, 0.0000, 6.2393]], "species": ["Cs", "Ba", "Ga", "Ga", "Ga"], "fractional_positions": [[0.5000, 0.5000, 0.5000], [0.0000, 0.0000, 0.0000], [0.0000, 0.5000, 0.0000], [0.0000, 0.0000, 0.5000], [0.5000, 0.0000, 0.0000]]}

=====

{"formula": "Cs3BaGa", "functional": "PBE", "state": "relaxed", "ef_mev_per_atom": 285.1, "e_tot_ev_per_cell": -6.08, "relative_energy_mev_per_atom": 0.0, "lattice_angstrom": [[7.3885, 0.0000, 0.0000], [0.0000, 7.3885, 0.0000], [0.0000, 0.0000, 7.3885]], "species": ["Cs", "Cs", "Cs", "Ba", "Ga"], "fractional_positions": [[0.0000, 0.5000, 0.0000], [0.0000, 0.0000, 0.5000], [0.5000, 0.0000, 0.0000], [0.5000, 0.5000, 0.5000], [0.0000, 0.0000, 0.0000]]}

=====

{"formula": "CsBa3Ga", "functional": "PBE", "state": "relaxed", "ef_mev_per_atom": -34.4, "e_tot_ev_per_cell": -9.82, "relative_energy_mev_per_atom": 0.0, "lattice_angstrom": [[-3.8304, 5.3053, 1.8333], [-5.3415, -4.1272, 0.7833], [1.7250, -0.9995, 6.4965]], "species": ["Cs", "Ba", "Ba", "Ba", "Ga"], "fractional_positions": [[0.5000, 0.5000, 0.5000], [0.0000, 0.5000, 0.0000], [0.0000, 0.0000, 0.5000], [0.5000, 0.0000, 0.0000], [0.0000, 0.0000, 0.0000]]}

=====

{"formula": "CsBa2Ga2", "functional": "PBE", "state": "relaxed", "ef_mev_per_atom": -118.1, "e_tot_ev_per_cell": -11.34, "relative_energy_mev_per_atom": 0.0, "lattice_angstrom": [[6.3057, 0.0000, 0.0000], [0.0000, 6.3057, 0.0000], [3.1529, 3.1529, 5.4546]], "species": ["Cs", "Ba", "Ba", "Ga", "Ga"], "fractional_positions": [[0.0000, 0.0000, 0.0000], [0.7500, 0.2500, 0.5000], [0.2500, 0.7500, 0.5000], [0.3876, 0.3876, 0.2249], [0.6124, 0.6124, 0.7751]]}

=====

{"formula": "CsBaGa12", "functional": "PBE", "state": "relaxed", "ef_mev_per_atom": -62.7, "e_tot_ev_per_cell": -39.98, "lattice_angstrom": [[-5.8866, -0.8270, -1.1240], [1.3019, -1.5010, -5.7142], [1.0028, -11.5855, 3.2718]], "species": ["Cs", "Ba", "Ga", "Ga", "Ga", "Ga", "Ga", "Ga", "Ga", "Ga", "Ga", "Ga", "Ga", "Ga"], "fractional_positions": [[0.0000, 0.0000, 0.5000], [0.0000, 0.0000, 0.0000], [0.1960, 0.5000, 0.2471], [0.1960, 0.5000, 0.7529], [0.5000, 0.5000, 0.4004], [0.5000, 0.5000, 0.9032], [0.5000, 0.1960, 0.2471], [0.5000, 0.1960, 0.7529], [0.5000, 0.5000, 0.0968], [0.5000, 0.5000, 0.5996], [0.5000, 0.8040, 0.2471], [0.5000, 0.8040, 0.7529], [0.8040, 0.5000, 0.2471], [0.8040, 0.5000, 0.7529]]}

=====

{"formula": "CsBaGa", "functional": "PBE", "state": "relaxed", "ef_mev_per_atom": -199.6, "e_tot_ev_per_cell": -12.80, "lattice_angstrom": [[-1.9704, 0.1030, 4.2368], [-1.6746, -3.9305, 1.8933], [16.2712, -3.2049, 7.4852]], "species": ["Cs", "Cs", "Ba", "Ba", "Ga", "Ga"], "fractional_positions": [[0.6800, 0.1704, 0.3714], [0.3200, 0.8296, 0.6286], [0.9963, 0.4988, 0.8730], [0.0037, 0.5012, 0.1270], [0.6664, 0.1666, 0.9896], [0.3336, 0.8334, 0.0104]]}

=====

{"formula": "Cs2BaGa2", "functional": "PBE", "state": "relaxed", "ef_mev_per_atom": 77.9, "e_tot_ev_per_cell": -9.29, "lattice_angstrom": [[-0.2907, -4.5278, -2.8616], [4.4650, -1.7878, 2.3752], [-2.2992, -6.4984, 5.4882]], "species": ["Cs", "Cs", "Ba", "Ga", "Ga"], "fractional_positions": [[0.7500, 0.2500, 0.5000], [0.2500, 0.7500, 0.5000], [0.0000, 0.0000, 0.0000], [0.4238, 0.4238, 0.1523], [0.5762, 0.5762, 0.8477]]}

=====

{"formula": "CsBa3Ga", "functional": "PBE", "state": "relaxed", "ef_mev_per_atom": 779.4, "e_tot_ev_per_cell": -5.75, "relative_energy_mev_per_atom": 813.8, "lattice_angstrom": [[6.4831, 0.0000, 0.0000], [0.0000, 6.4831, 0.0000], [0.0000, 0.0000, 6.4831]], "species": ["Cs", "Ba", "Ba", "Ba", "Ga"], "fractional_positions": [[0.0000, 0.0000, 0.0000], [0.0000, 0.5000, 0.0000], [0.0000, 0.0000, 0.5000], [0.5000, 0.0000, 0.0000], [0.5000, 0.5000, 0.5000]]}

=====

{"formula": "CsBa2Ga2", "functional": "PBE", "state": "relaxed", "ef_mev_per_atom": -109.6, "e_tot_ev_per_cell": -22.60, "relative_energy_mev_per_atom": 8.5, "lattice_angstrom": [[9.2790, 0.0000, 0.0000], [0.0000, 9.2790, 0.0000], [0.0000, 0.0000, 5.0253]], "species": ["Cs", "Cs", "Ba", "Ba", "Ba", "Ba", "Ga", "Ga", "Ga", "Ga"], "fractional_positions": [[0.0000, 0.0000, 0.0000], [0.5000, 0.5000, 0.0000], [0.1681, 0.6681, 0.5000], [0.6681, 0.8319, 0.5000], [0.8319, 0.3319, 0.5000], [0.3319, 0.1681, 0.5000], [0.4031, 0.9031, 0.0000], [0.9031, 0.5969, 0.0000], [0.5969, 0.0969, 0.0000], [0.0969, 0.4031, 0.0000]]}

=====

{"formula": "CsBa2Ga2", "functional": "PBE", "state": "relaxed", "ef_mev_per_atom": 90.2, "e_tot_ev_per_cell": -10.30, "relative_energy_mev_per_atom": 208.4, "lattice_angstrom": [[-0.3021, 3.0350, 4.6317], [-5.0262, -2.0972, 1.0464], [0.7032, -5.5303, 6.9897]], "species": ["Cs", "Ba", "Ba", "Ga", "Ga"], "fractional_positions": [[0.0000, 0.0000, 0.0000], [0.3573, 0.3573, 0.2853], [0.6427, 0.6427, 0.7147], [0.7500, 0.2500, 0.5000], [0.2500, 0.7500, 0.5000]]}

=====

{"formula": "CsBaGa3", "functional": "PBE", "state": "relaxed", "ef_mev_per_atom": 695.9, "e_tot_ev_per_cell": -8.38, "relative_energy_mev_per_atom": 173.9, "lattice_angstrom": [[5.9558, 0.0000, 0.0000], [0.0000, 5.9558, 0.0000], [0.0000, 0.0000, 5.9558]], "species": ["Cs", "Ba", "Ga", "Ga", "Ga"], "fractional_positions": [[0.0000, 0.0000, 0.0000], [0.5000, 0.5000, 0.5000], [0.0000, 0.5000, 0.0000], [0.0000, 0.0000, 0.5000], [0.5000, 0.0000, 0.0000]]}

=====

{"formula": "CsBaGa2H8", "functional": "PBE", "state": "relaxed", "e_tot_ev_per_cell": -37.99, "lattice_angstrom": [[-2.5191, 0.0453, 4.4750], [-3.7628, -3.3867, 0.8629], [3.6294, -6.6375, 5.0571]], "species": ["Cs", "Ba", "Ga", "Ga", "H", "H", "H", "H", "H", "H", "H", "H"], "fractional_positions": [[0.5000, 0.5000, 0.5000], [0.0000, 0.0000, 0.0000], [0.2566, 0.2566, 0.2301], [0.7434, 0.7434, 0.7699], [0.1948, 0.1948, 0.4156], [0.4485, 0.4485, 0.1583], [0.8052, 0.8052, 0.5844], [0.9446, 0.4485, 0.1583], [0.0554, 0.5515, 0.8417], [0.4485, 0.9446, 0.1583], [0.5515, 0.0554, 0.8417], [0.5515, 0.5515, 0.8417]]}

=====

{"formula": "Cs2BaHfGa", "functional": "PBE", "state": "relaxed", "ef_mev_per_atom": 1199.4, "e_tot_ev_per_cell": -10.61, "lattice_angstrom": [[7.0502, 0.0000, 0.0000], [0.0000, 6.7389, 0.0000], [0.0000, 0.0000, 7.0502]], "species": ["Cs", "Cs", "Hf", "Ba", "Ga"], "fractional_positions": [[0.0000, 0.0000, 0.5000], [0.5000, 0.0000, 0.0000], [0.0000, 0.0000, 0.0000], [0.0000, 0.5000, 0.0000], [0.5000, 0.5000, 0.5000]]}